Record 1
Entry from Alexandria via LeMat-Bulk: a relaxed Dy3TmGa3 crystal (PBE).

Lattice parameters (Å, degrees): 9.0586 9.0586 4.8089 90.00 90.00 120.00
Positions (direct):
Dy  0.0127  0.7595  0.2500
Dy  0.2405  0.2532  0.2500
Dy  0.2532  0.0127  0.7500
Dy  0.7468  0.9873  0.2500
Dy  0.7595  0.7468  0.7500
Dy  0.9873  0.2405  0.7500
Tm  0.3333  0.6667  0.7500
Tm  0.6667  0.3333  0.2500
Ga  0.0582  0.4498  0.2500
Ga  0.3916  0.9418  0.2500
Ga  0.4498  0.3916  0.7500
Ga  0.5502  0.6084  0.2500
Ga  0.6084  0.0582  0.7500
Ga  0.9418  0.5502  0.7500

Summary:
* volume: 24.41 A^3/atom
* space-group type: P6_3/m (176)



Record 2
Entry from Alexandria via LeMat-Bulk: a relaxed DyTmGa2 crystal (PBE).

Lattice parameters (Å, degrees): 5.0166 5.0166 5.0166 60.00 60.00 60.00
Positions (direct):
Dy  0.0000  0.0000  0.0000
Tm  0.5000  0.5000  0.5000
Ga  0.2500  0.2500  0.2500
Ga  0.7500  0.7500  0.7500

Summary:
* volume: 22.32 A^3/atom
* space-group type: Fm-3m (225)
* polymorph energy (0 for the lowest one): 50 meV per atom



Record 3
Entry from Alexandria via LeMat-Bulk: a relaxed DyTmGa2 crystal (PBE).

Lattice parameters (Å, degrees): 4.0197 5.8167 5.8167 43.74 90.00 90.00
Positions (direct):
Dy  0.0000  0.0000  0.0000
Tm  0.5000  0.2783  0.2783
Ga  0.0000  0.7178  0.7178
Ga  0.5000  0.5625  0.5625

Summary:
* volume: 23.51 A^3/atom
* space-group type: Amm2 (38)
* polymorph energy (0 for the lowest one): 0 meV per atom



Record 4
Entry from Alexandria via LeMat-Bulk: a relaxed DyTm4Ga15 crystal (PBE).

Lattice parameters (Å, degrees): 4.2503 4.2503 21.1575 90.00 90.00 90.00
Positions (direct):
Dy  0.0000  0.0000  0.0000
Tm  0.0000  0.0000  0.2008
Tm  0.0000  0.0000  0.4002
Tm  0.0000  0.0000  0.5998
Tm  0.0000  0.0000  0.7992
Ga  0.0000  0.5000  0.1011
Ga  0.0000  0.5000  0.3004
Ga  0.0000  0.5000  0.5000
Ga  0.0000  0.5000  0.6996
Ga  0.0000  0.5000  0.8989
Ga  0.5000  0.0000  0.1011
Ga  0.5000  0.0000  0.3004
Ga  0.5000  0.0000  0.5000
Ga  0.5000  0.0000  0.6996
Ga  0.5000  0.0000  0.8989
Ga  0.5000  0.5000  0.0000
Ga  0.5000  0.5000  0.2002
Ga  0.5000  0.5000  0.4003
Ga  0.5000  0.5000  0.5997
Ga  0.5000  0.5000  0.7998

Summary:
* volume: 19.11 A^3/atom
* space-group type: P4/mmm (123)



Record 5
Entry from Alexandria via LeMat-Bulk: a relaxed DyTm4Ga4 crystal (PBE).

Lattice parameters (Å, degrees): 8.9945 8.9945 5.8504 90.00 90.00 90.00
Positions (direct):
Dy  0.2500  0.2500  0.2500
Dy  0.7500  0.7500  0.7500
Tm  0.0717  0.6570  0.1297
Tm  0.1570  0.9283  0.6297
Tm  0.3430  0.5717  0.6297
Tm  0.4283  0.8430  0.1297
Tm  0.5717  0.1570  0.8703
Tm  0.6570  0.4283  0.3703
Tm  0.8430  0.0717  0.3703
Tm  0.9283  0.3430  0.8703
Ga  0.0249  0.6171  0.6214
Ga  0.1171  0.9751  0.1214
Ga  0.3829  0.5249  0.1214
Ga  0.4751  0.8829  0.6214
Ga  0.5249  0.1171  0.3786
Ga  0.6171  0.4751  0.8786
Ga  0.8829  0.0249  0.8786
Ga  0.9751  0.3829  0.3786

Summary:
* volume: 26.29 A^3/atom
* space-group type: P4_2/n (86)



Record 6
Entry from Alexandria via LeMat-Bulk: a relaxed DyTm2Ga6 crystal (PBE).

Lattice parameters (Å, degrees): 7.4514 7.4514 3.7650 90.00 90.00 120.00
Positions (direct):
Dy  0.0000  0.0000  0.0000
Tm  0.3333  0.6667  0.0000
Tm  0.6667  0.3333  0.0000
Ga  0.0000  0.3340  0.5000
Ga  0.0000  0.6660  0.5000
Ga  0.3340  0.0000  0.5000
Ga  0.3340  0.3340  0.5000
Ga  0.6660  0.0000  0.5000
Ga  0.6660  0.6660  0.5000

Summary:
* volume: 20.12 A^3/atom
* space-group type: P6/mmm (191)
* polymorph energy (0 for the lowest one): 0 meV per atom



Record 7
Entry from Alexandria via LeMat-Bulk: a relaxed Dy2TmGa9 crystal (PBE).

Lattice parameters (Å, degrees): 4.2599 4.2599 12.7742 90.00 90.00 90.00
Positions (direct):
Dy  0.0000  0.0000  0.1675
Dy  0.0000  0.0000  0.8325
Tm  0.0000  0.0000  0.5000
Ga  0.0000  0.5000  0.0000
Ga  0.0000  0.5000  0.3351
Ga  0.0000  0.5000  0.6649
Ga  0.5000  0.0000  0.0000
Ga  0.5000  0.0000  0.3351
Ga  0.5000  0.0000  0.6649
Ga  0.5000  0.5000  0.1666
Ga  0.5000  0.5000  0.5000
Ga  0.5000  0.5000  0.8334

Summary:
* volume: 19.32 A^3/atom
* space-group type: P4/mmm (123)



Record 8
Entry from Alexandria via LeMat-Bulk: a relaxed Dy4TmGa15 crystal (PBE).

Lattice parameters (Å, degrees): 4.2725 4.2725 21.2690 90.00 90.00 90.00
Positions (direct):
Dy  0.0000  0.0000  0.1003
Dy  0.0000  0.0000  0.3008
Dy  0.0000  0.0000  0.6992
Dy  0.0000  0.0000  0.8997
Tm  0.0000  0.0000  0.5000
Ga  0.0000  0.5000  0.0000
Ga  0.0000  0.5000  0.2005
Ga  0.0000  0.5000  0.4012
Ga  0.0000  0.5000  0.5988
Ga  0.0000  0.5000  0.7995
Ga  0.5000  0.0000  0.0000
Ga  0.5000  0.0000  0.2005
Ga  0.5000  0.0000  0.4012
Ga  0.5000  0.0000  0.5988
Ga  0.5000  0.0000  0.7995
Ga  0.5000  0.5000  0.1004
Ga  0.5000  0.5000  0.3002
Ga  0.5000  0.5000  0.5000
Ga  0.5000  0.5000  0.6998
Ga  0.5000  0.5000  0.8996

Summary:
* volume: 19.41 A^3/atom
* space-group type: P4/mmm (123)



| no. | spin magnetization (μB per atom) | E (eV per atom) | calculated formation energy (kJ per mole of atoms) |
| --- | --- | --- | --- |
| 1 | 0.00 | -4.31 | -39 |
| 2 | 0.00 | -4.36 | -56 |
| 3 | 0.00 | -4.41 | -60 |
| 4 | 0.00 | -3.92 | -50 |
| 5 | 0.00 | -4.19 | -34 |
| 6 | 0.00 | -4.13 | -58 |
| 7 | 0.00 | -3.94 | -51 |
| 8 | 0.00 | -3.95 | -52 |